No. 1
Entry from Alexandria: an optimized crystal structure of PuMgP2N6 (PBE-GGA).

Its total magnetic moment is 1.998 μB/f.u. For the formation energy from raw total energies, the calculation gives -0.595 eV/atom. The calculation puts the density of states at the Fermi level at 0.399 states/eV/atom.

Lattice parameters (Å, degrees): 5.1532 6.7326 6.7326 85.48 78.83 78.83
Each line ends with the local moment (μB).
Sites, in units of the cell vectors:
Pu 0.2500 0.2931 0.7069  2.75
Pu 0.7500 0.7069 0.2931  2.75
Mg 0.2500 0.9145 0.0855  0.00
Mg 0.7500 0.0855 0.9145  0.00
P 0.2340 0.7947 0.6264  0.00
P 0.2660 0.3736 0.2053  0.00
P 0.7660 0.2053 0.3736  0.00
P 0.7340 0.6264 0.7947  0.00
N 0.1503 0.9809 0.7749  -0.09
N 0.3497 0.2251 0.0191  -0.09
N 0.8497 0.0191 0.2251  -0.09
N 0.6503 0.7749 0.9809  -0.09
N 0.3748 0.8486 0.3914  -0.14
N 0.1252 0.6086 0.1514  -0.14
N 0.6252 0.1514 0.6086  -0.14
N 0.8748 0.3914 0.8486  -0.14
N 0.9691 0.6953 0.6064  -0.07
N 0.5309 0.3936 0.3047  -0.07
N 0.0309 0.3047 0.3936  -0.07
N 0.4691 0.6064 0.6953  -0.07

No. 2
Entry from Alexandria: an optimized crystal structure of MgP2SN (PBE-GGA).

Its total magnetic moment is 0.000 μB/f.u. For the formation energy from raw total energies, the calculation gives 0.686 eV/atom. The calculation puts the density of states at the Fermi level at 0.959 states/eV/atom. The offset from the most stable computed form comes out at 0.000 eV per formula unit.

Lattice parameters (Å, degrees): 4.0598 4.0598 4.4019 90.00 90.00 90.00
Sites, in units of the cell vectors:
P 0.0000 0.5000 0.0000
P 0.5000 0.0000 0.0000
S 0.0000 0.0000 0.5000
Mg 0.5000 0.5000 0.5000
N 0.0000 0.0000 0.0000

No. 3
Entry from Alexandria: an optimized crystal structure of MgPSN2 (PBE-GGA).

Its total magnetic moment is 0.479 μB/f.u. For the formation energy from raw total energies, the calculation gives 0.238 eV/atom. The calculation puts the density of states at the Fermi level at 0.142 states/eV/atom. The offset from the most stable computed form comes out at 0.000 eV per formula unit.

Lattice parameters (Å, degrees): 3.3873 3.3873 5.8688 90.00 90.00 90.00
Each line ends with the local moment (μB).
Sites, in units of the cell vectors:
P 0.0000 0.0000 0.0000  -0.02
S 0.0000 0.0000 0.5000  0.00
Mg 0.5000 0.5000 0.5000  0.00
N 0.0000 0.5000 0.0000  0.20
N 0.5000 0.0000 0.0000  0.20

No. 4
Entry from Alexandria: an optimized crystal structure of MgP2SN (PBE-GGA).

Its total magnetic moment is 2.054 μB/f.u. For the formation energy from raw total energies, the calculation gives 1.810 eV/atom. The calculation puts the density of states at the Fermi level at 0.716 states/eV/atom. The offset from the most stable computed form comes out at 5.622 eV per formula unit.

Lattice parameters (Å, degrees): 4.8945 4.8945 4.7332 90.00 90.00 90.00
Each line ends with the local moment (μB).
Sites, in units of the cell vectors:
P 0.0000 0.5000 0.0000  -0.20
P 0.5000 0.0000 0.0000  -0.20
S 0.0000 0.0000 0.5000  0.22
Mg 0.0000 0.0000 0.0000  0.01
N 0.5000 0.5000 0.5000  1.75

No. 5
Entry from Alexandria: an optimized crystal structure of MgPSN2 (PBE-GGA).

Its total magnetic moment is 3.040 μB/f.u. For the formation energy from raw total energies, the calculation gives 1.589 eV/atom. The calculation puts the density of states at the Fermi level at 0.563 states/eV/atom. The offset from the most stable computed form comes out at 6.756 eV per formula unit.

Lattice parameters (Å, degrees): 4.0185 4.0185 5.1366 90.00 90.00 90.00
Each line ends with the local moment (μB).
Sites, in units of the cell vectors:
P 0.5000 0.5000 0.5000  -0.43
S 0.0000 0.0000 0.5000  0.14
Mg 0.0000 0.0000 0.0000  -0.01
N 0.0000 0.5000 0.0000  1.26
N 0.5000 0.0000 0.0000  1.26

No. 6
Entry from Alexandria: an optimized crystal structure of MgPSe2N (PBE-GGA).

Its total magnetic moment is 2.081 μB/f.u. For the formation energy from raw total energies, the calculation gives 0.977 eV/atom. The calculation puts the density of states at the Fermi level at 0.739 states/eV/atom. The offset from the most stable computed form comes out at 4.136 eV per formula unit.

Lattice parameters (Å, degrees): 5.0991 5.0991 3.9094 90.00 90.00 90.00
Each line ends with the local moment (μB).
Sites, in units of the cell vectors:
P 0.5000 0.5000 0.5000  0.04
Mg 0.0000 0.0000 0.0000  -0.01
Se 0.0000 0.5000 0.0000  0.09
Se 0.5000 0.0000 0.0000  0.09
N 0.0000 0.0000 0.5000  1.15

No. 7
Entry from Alexandria: an optimized crystal structure of MgPSe2N (PBE-GGA).

Its total magnetic moment is 0.000 μB/f.u. For the formation energy from raw total energies, the calculation gives 0.150 eV/atom. The calculation puts the density of states at the Fermi level at 0.581 states/eV/atom. The offset from the most stable computed form comes out at 0.000 eV per formula unit.

Lattice parameters (Å, degrees): 5.0851 5.0851 3.3151 90.00 90.00 90.00
Sites, in units of the cell vectors:
P 0.0000 0.0000 0.0000
Mg 0.5000 0.5000 0.5000
Se 0.0000 0.5000 0.0000
Se 0.5000 0.0000 0.0000
N 0.0000 0.0000 0.5000

No. 8
Entry from Alexandria: an optimized crystal structure of MgSiP2N6 (PBE-GGA).

Its total magnetic moment is 0.000 μB/f.u. For the formation energy from raw total energies, the calculation gives -0.571 eV/atom. The calculation puts the density of states at the Fermi level at 0.000 states/eV/atom.

Lattice parameters (Å, degrees): 5.3888 6.7114 6.7114 94.23 71.90 71.90
Sites, in units of the cell vectors:
Mg 0.2500 0.8868 0.1132
Mg 0.7500 0.1132 0.8868
Si 0.2500 0.1822 0.8178
Si 0.7500 0.8178 0.1822
P 0.3702 0.7578 0.5806
P 0.1298 0.4194 0.2422
P 0.6298 0.2422 0.4194
P 0.8702 0.5806 0.7578
N 0.2090 0.9331 0.7932
N 0.2910 0.2068 0.0669
N 0.7910 0.0669 0.2068
N 0.7090 0.7932 0.9331
N 0.4386 0.8223 0.3531
N 0.0614 0.6469 0.1777
N 0.5614 0.1777 0.6469
N 0.9386 0.3531 0.8223
N 0.1796 0.5930 0.5854
N 0.3204 0.4146 0.4070
N 0.8204 0.4070 0.4146
N 0.6796 0.5854 0.5930

No. 9
Entry from Alexandria: an optimized crystal structure of MgSi2PN (PBE-GGA).

Its total magnetic moment is 2.387 μB/f.u. For the formation energy from raw total energies, the calculation gives 2.059 eV/atom. The calculation puts the density of states at the Fermi level at 0.485 states/eV/atom.

Lattice parameters (Å, degrees): 5.0041 4.6759 5.0041 90.00 90.00 90.00
Each line ends with the local moment (μB).
Sites, in units of the cell vectors:
P 0.0000 0.5000 0.0000  0.12
Si 0.0000 0.0000 0.5000  -0.04
Si 0.5000 0.0000 0.0000  -0.04
Mg 0.0000 0.0000 0.0000  0.01
N 0.5000 0.5000 0.5000  1.61

No. 10
Entry from Alexandria: an optimized crystal structure of Sr2Mg5P3N2 (PBE-GGA).

Its total magnetic moment is 0.000 μB/f.u. For the formation energy from raw total energies, the calculation gives -0.797 eV/atom. The calculation puts the density of states at the Fermi level at 0.634 states/eV/atom.

Lattice parameters (Å, degrees): 4.2485 4.2485 12.4818 99.80 99.80 90.00
Sites, in units of the cell vectors:
Sr 0.6946 0.6946 0.3892
Sr 0.3054 0.3054 0.6108
Mg 0.5883 0.0883 0.1766
Mg 0.4117 0.9117 0.8234
Mg 0.0883 0.5883 0.1766
Mg 0.9117 0.4117 0.8234
Mg 0.5000 0.5000 0.0000
P 0.1690 0.1690 0.3379
P 0.8310 0.8310 0.6621
P 0.0000 0.0000 0.0000
N 0.4147 0.4147 0.8294
N 0.5853 0.5853 0.1706